Material: TbDyNiAu
Method: DFT, PBE
State: relaxed

Summary:
- ΔH_f (0 K): -637 meV/atom
- DOS(E_F): 2.30 states/eV/f.u.
- ΔE to the lowest computed polymorph: 0 meV per atom
- Magnetic moment: 0.00 μB/f.u.
- Mass density: 10.7 g/cm3
- Space-group type: Amm2

The structure in POSCAR format:
```
TbDyNiAu
1.0
-3.207 -1.898 -0.592
1.621 -3.487 2.395
-0.422 3.007 4.665
Au Tb Ni Dy
1 1 1 1
Direct
0.579 0.500 0.157 Au
0.142 0.000 0.283 Tb
0.418 0.000 0.836 Ni
0.862 0.500 0.723 Dy
```


Material: Cu5Ni6Sb
Method: DFT, PBE
State: relaxed

Summary:
- Raw formation energy: -0.018 eV per atom
- DOS(E_F): 7.67 states/eV/f.u.
- Magnetic moment: 0.00 μB/f.u.
- Mass density: 9.1 g/cm3
- Space-group type: P2/m

The structure in POSCAR format:
```
Cu5Ni6Sb
1.0
-1.355 -4.083 -0.581
-0.420 -0.604 5.228
-5.806 2.453 -0.183
Cu Ni Sb
5 6 1
Direct
0.000 0.500 0.000 Cu
0.343 0.000 0.657 Cu
0.340 0.500 0.665 Cu
0.657 0.000 0.343 Cu
0.660 0.500 0.335 Cu
0.161 0.745 0.337 Ni
0.500 0.258 0.000 Ni
0.161 0.255 0.337 Ni
0.500 0.742 0.000 Ni
0.839 0.745 0.663 Ni
0.839 0.255 0.663 Ni
0.000 0.000 0.000 Sb
```